Arrangement a

The following is a DFT calculation (meta-GGA SCAN) of Ba3As at its PBEsol-relaxed geometry. Values from VASP.

Structure (Quantum ESPRESSO input):
```
&SYSTEM
  ibrav = 0, nat = 4, ntyp = 2
/
ATOMIC_SPECIES
As 74.92 As.upf
Ba 137.33 Ba.upf
CELL_PARAMETERS angstrom
4.1308 0.0000 0.0000
-1.3769 6.4611 0.0000
-1.3769 -3.2306 5.5955
ATOMIC_POSITIONS angstrom
As 0.0000 0.0000 0.0000
Ba 1.3769 -1.6153 2.7978
Ba 1.3769 3.2306 0.0000
Ba -1.3769 1.6153 2.7978
```

=====

Arrangement b

The following is a DFT calculation (meta-GGA SCAN) of Ba3As at its PBEsol-relaxed geometry. Values from VASP.

Structure (Quantum ESPRESSO input):
```
&SYSTEM
  ibrav = 0, nat = 4, ntyp = 2
/
ATOMIC_SPECIES
As 74.92 As.upf
Ba 137.33 Ba.upf
CELL_PARAMETERS angstrom
-1.3623 -4.0428 1.9262
-0.7787 -1.9695 -4.6844
6.8924 -2.3897 -0.1410
ATOMIC_POSITIONS angstrom
As 0.4164 -0.1444 -0.0085
Ba 1.7002 -1.7092 -2.3850
Ba 5.1243 -5.1540 -1.5058
Ba 2.1054 -2.9876 0.9061
```

=====

The most stable arrangement is arrangement b, and the next structure is 244 meV/atom less stable.

=====

Arrangement a

The following is a DFT calculation (meta-GGA SCAN) of BaAs2Br at its PBEsol-relaxed geometry. Values from VASP.

Structure (Quantum ESPRESSO input):
```
&SYSTEM
  ibrav = 0, nat = 4, ntyp = 3
/
ATOMIC_SPECIES
As 74.92 As.upf
Br 79.90 Br.upf
Ba 137.33 Ba.upf
CELL_PARAMETERS angstrom
4.4847 -0.0180 0.0000
-1.0156 4.3683 0.0000
0.0000 0.0000 6.1198
ATOMIC_POSITIONS angstrom
As 0.0000 0.0000 1.1662
As 0.0000 0.0000 4.9535
Br 1.7346 2.1751 0.0000
Ba 1.7346 2.1751 3.0599
```

=====

Arrangement b

The following is a DFT calculation (meta-GGA SCAN) of BaAs2Br at its PBEsol-relaxed geometry. Values from VASP.

Structure (Quantum ESPRESSO input):
```
&SYSTEM
  ibrav = 0, nat = 4, ntyp = 3
/
ATOMIC_SPECIES
As 74.92 As.upf
Br 79.90 Br.upf
Ba 137.33 Ba.upf
CELL_PARAMETERS angstrom
-0.7206 -2.7923 -3.6822
4.3418 -1.6854 0.4284
-2.0964 -4.4406 3.7776
ATOMIC_POSITIONS angstrom
As -1.7144 -3.6314 3.0892
As -0.3820 -0.8092 0.6884
Br 0.7624 -4.4591 0.2619
Ba 1.8106 -2.2388 -1.6269
```

=====

The most stable arrangement is arrangement b, and the next structure is 349 meV/atom less stable.

=====

Arrangement a

The following is a DFT calculation (meta-GGA SCAN) of Ba2HgAs at its PBEsol-relaxed geometry. Values from VASP.

Structure (Quantum ESPRESSO input):
```
&SYSTEM
  ibrav = 0, nat = 4, ntyp = 3
/
ATOMIC_SPECIES
Hg 200.59 Hg.upf
As 74.92 As.upf
Ba 137.33 Ba.upf
CELL_PARAMETERS angstrom
-3.5781 0.9686 -1.7011
-0.3940 -3.8281 -1.3510
-3.6827 -1.9607 6.6296
ATOMIC_POSITIONS angstrom
Hg -1.9860 -1.4297 -1.5261
As -3.8274 -2.4101 1.7888
Ba -2.6424 -1.4068 4.7568
Ba -1.0403 -0.5539 1.8728
```

=====

Arrangement b

The following is a DFT calculation (meta-GGA SCAN) of Ba2HgAs at its PBEsol-relaxed geometry. Values from VASP.

Structure (Quantum ESPRESSO input):
```
&SYSTEM
  ibrav = 0, nat = 4, ntyp = 3
/
ATOMIC_SPECIES
Hg 200.59 Hg.upf
As 74.92 As.upf
Ba 137.33 Ba.upf
CELL_PARAMETERS angstrom
-4.4505 -0.8659 1.1540
-0.9492 -1.2159 -4.5729
3.6663 -5.3299 0.6562
ATOMIC_POSITIONS angstrom
Hg 0.8358 -5.8484 -1.1651
As 0.8532 -3.4119 0.7301
Ba 0.0252 -0.1007 0.0216
Ba -2.0065 -3.8136 -1.1161
```

=====

Arrangement c

The following is a DFT calculation (meta-GGA SCAN) of Ba2HgAs at its PBEsol-relaxed geometry. Values from VASP.

Structure (Quantum ESPRESSO input):
```
&SYSTEM
  ibrav = 0, nat = 4, ntyp = 3
/
ATOMIC_SPECIES
As 74.92 As.upf
Hg 200.59 Hg.upf
Ba 137.33 Ba.upf
CELL_PARAMETERS angstrom
-3.9444 2.1040 1.4999
-3.5908 -2.5968 1.6118
0.5860 0.2490 8.6041
ATOMIC_POSITIONS angstrom
As 0.0000 0.0000 0.0000
Hg -3.4746 -0.1219 5.8579
Ba -1.8576 -0.0770 2.6351
Ba -5.0916 -0.1668 9.0807
```

=====

The most stable arrangement is arrangement b, and the next structure is 11 meV/atom less stable.

=====

Arrangement a

The following is a DFT calculation (meta-GGA SCAN) of BaAsSe2I at its PBEsol-relaxed geometry. Values from VASP.

Structure (Quantum ESPRESSO input):
```
&SYSTEM
  ibrav = 0, nat = 5, ntyp = 4
/
ATOMIC_SPECIES
I 126.90 I.upf
Se 78.96 Se.upf
Ba 137.33 Ba.upf
As 74.92 As.upf
CELL_PARAMETERS angstrom
5.3023 0.0000 0.0000
0.0000 5.4463 0.0000
0.0000 0.0000 5.4463
ATOMIC_POSITIONS angstrom
I 0.0000 0.0000 0.0000
Se 0.0000 0.0000 2.7231
Se 0.0000 2.7231 0.0000
Ba 2.6512 2.7231 2.7231
As 2.6512 0.0000 0.0000
```

=====

Arrangement b

The following is a DFT calculation (meta-GGA SCAN) of BaAsSe2I at its PBEsol-relaxed geometry. Values from VASP.

Structure (Quantum ESPRESSO input):
```
&SYSTEM
  ibrav = 0, nat = 5, ntyp = 4
/
ATOMIC_SPECIES
As 74.92 As.upf
Se 78.96 Se.upf
I 126.90 I.upf
Ba 137.33 Ba.upf
CELL_PARAMETERS angstrom
-0.4524 -3.9650 4.6224
1.5778 -4.5532 -3.7512
6.1184 0.9532 1.4165
ATOMIC_POSITIONS angstrom
As 3.0592 0.4766 0.7082
Se 0.7889 -2.2766 -1.8756
Se -0.2262 -1.9825 2.3112
I 3.6219 -3.7824 1.1439
Ba 0.0000 0.0000 0.0000
```

=====

The most stable arrangement is arrangement a, and the next structure is 721 meV/atom less stable.

=====

Arrangement a

The following is a DFT calculation (meta-GGA SCAN) of BaLiAs2 at its PBEsol-relaxed geometry. Values from VASP.

Structure (Quantum ESPRESSO input):
```
&SYSTEM
  ibrav = 0, nat = 4, ntyp = 3
/
ATOMIC_SPECIES
Ba 137.33 Ba.upf
As 74.92 As.upf
Li 6.94 Li.upf
CELL_PARAMETERS angstrom
-0.6152 -1.0161 -3.6042
3.7439 -0.2432 -0.5705
-0.1347 -6.2837 1.7945
ATOMIC_POSITIONS angstrom
Ba 1.5643 -0.6296 -2.0873
As -0.0918 -4.2829 1.2231
As -0.0429 -2.0008 0.5714
Li 1.4970 -3.7715 -1.1901
```

=====

Arrangement b

The following is a DFT calculation (meta-GGA SCAN) of BaLiAs2 at its PBEsol-relaxed geometry. Values from VASP.

Structure (Quantum ESPRESSO input):
```
&SYSTEM
  ibrav = 0, nat = 4, ntyp = 3
/
ATOMIC_SPECIES
Li 6.94 Li.upf
As 74.92 As.upf
Ba 137.33 Ba.upf
CELL_PARAMETERS angstrom
-3.6240 3.4355 -1.1016
-2.2796 -0.0664 -4.5770
-4.8804 -1.4721 -0.4045
ATOMIC_POSITIONS angstrom
Li -2.6960 0.4742 -1.5208
As 0.0000 0.0000 0.0000
As -8.0880 1.4227 -4.5623
Ba -5.3920 0.9485 -3.0415
```

=====

The most stable arrangement is arrangement a, and the next structure is 413 meV/atom less stable.

=====

Arrangement a

The following is a DFT calculation (meta-GGA SCAN) of Ba2MgAs at its PBEsol-relaxed geometry. Values from VASP.

Structure (Quantum ESPRESSO input):
```
&SYSTEM
  ibrav = 0, nat = 4, ntyp = 3
/
ATOMIC_SPECIES
Ba 137.33 Ba.upf
Mg 24.30 Mg.upf
As 74.92 As.upf
CELL_PARAMETERS angstrom
-3.2120 1.1028 -1.9738
-2.3677 -1.4337 2.7870
0.1488 8.3167 4.4045
ATOMIC_POSITIONS angstrom
Ba -2.6897 5.4325 3.3713
Ba 0.0139 0.7794 0.4128
Mg 0.0635 3.5515 1.8809
As -2.7443 2.3808 1.7551
```

=====

Arrangement b

The following is a DFT calculation (meta-GGA SCAN) of Ba2MgAs at its PBEsol-relaxed geometry. Values from VASP.

Structure (Quantum ESPRESSO input):
```
&SYSTEM
  ibrav = 0, nat = 4, ntyp = 3
/
ATOMIC_SPECIES
Mg 24.30 Mg.upf
As 74.92 As.upf
Ba 137.33 Ba.upf
CELL_PARAMETERS angstrom
4.8211 0.0000 0.0000
0.0000 4.8211 0.0000
-2.4106 -2.4106 5.5788
ATOMIC_POSITIONS angstrom
Mg 2.4106 2.4106 0.0000
As 0.0000 2.4106 2.7894
Ba 2.4106 0.0000 2.7894
Ba 0.0000 0.0000 0.0000
```

=====

The most stable arrangement is arrangement b, and the next structure is 28 meV/atom less stable.

=====

Arrangement a

The following is a DFT calculation (meta-GGA SCAN) of BaMoAs2 at its PBEsol-relaxed geometry. Values from VASP.

Structure (Quantum ESPRESSO input):
```
&SYSTEM
  ibrav = 0, nat = 4, ntyp = 3
/
ATOMIC_SPECIES
Ba 137.33 Ba.upf
As 74.92 As.upf
Mo 95.94 Mo.upf
CELL_PARAMETERS angstrom
3.7511 0.0000 0.0001
-1.8755 3.2444 -0.1980
0.0002 -1.7080 7.5914
ATOMIC_POSITIONS angstrom
Ba 0.0001 2.3842 3.5089
As 0.0001 0.3706 6.0681
As 0.0001 0.0862 1.4173
Mo 1.8756 1.0858 -0.0031
```

=====

Arrangement b

The following is a DFT calculation (meta-GGA SCAN) of BaMoAs2 at its PBEsol-relaxed geometry. Values from VASP.

Structure (Quantum ESPRESSO input):
```
&SYSTEM
  ibrav = 0, nat = 4, ntyp = 3
/
ATOMIC_SPECIES
As 74.92 As.upf
Ba 137.33 Ba.upf
Mo 95.94 Mo.upf
CELL_PARAMETERS angstrom
3.7237 0.0000 0.0000
0.0000 4.6993 0.0000
-1.8618 0.0000 6.1303
ATOMIC_POSITIONS angstrom
As 1.8618 2.3497 0.9210
As 0.0000 0.0000 2.9892
Ba 1.8618 0.0000 5.6765
Mo 0.0000 2.3497 2.5253
```

=====

Arrangement c

The following is a DFT calculation (meta-GGA SCAN) of BaMoAs2 at its PBEsol-relaxed geometry. Values from VASP.

Structure (Quantum ESPRESSO input):
```
&SYSTEM
  ibrav = 0, nat = 4, ntyp = 3
/
ATOMIC_SPECIES
As 74.92 As.upf
Mo 95.94 Mo.upf
Ba 137.33 Ba.upf
CELL_PARAMETERS angstrom
3.5544 0.0000 0.0000
0.0000 3.5544 0.0000
0.0000 0.0000 7.9180
ATOMIC_POSITIONS angstrom
As 0.0000 0.0000 6.9526
As 1.7772 1.7772 1.7703
Mo 1.7772 1.7772 7.3280
Ba 0.0000 0.0000 3.7443
```

=====

Arrangement d

The following is a DFT calculation (meta-GGA SCAN) of BaMoAs2 at its PBEsol-relaxed geometry. Values from VASP.

Structure (Quantum ESPRESSO input):
```
&SYSTEM
  ibrav = 0, nat = 4, ntyp = 3
/
ATOMIC_SPECIES
Ba 137.33 Ba.upf
Mo 95.94 Mo.upf
As 74.92 As.upf
CELL_PARAMETERS angstrom
-1.6063 -0.7547 2.7320
4.0814 -0.1480 4.3013
0.2275 4.8446 3.4145
ATOMIC_POSITIONS angstrom
Ba -0.8032 -0.3773 1.3660
Mo 2.1545 2.3483 3.8579
As 2.5264 3.0539 6.2139
As 0.1763 0.8881 4.2338
```

=====

The most stable arrangement is arrangement a, and the next structure is 105 meV/atom less stable.

=====

Arrangement a

The following is a DFT calculation (meta-GGA SCAN) of Ba2AsPb at its PBEsol-relaxed geometry. Values from VASP.

Structure (Quantum ESPRESSO input):
```
&SYSTEM
  ibrav = 0, nat = 4, ntyp = 3
/
ATOMIC_SPECIES
As 74.92 As.upf
Ba 137.33 Ba.upf
Pb 207.20 Pb.upf
CELL_PARAMETERS angstrom
-3.2327 -3.2738 0.5705
2.0878 -1.2290 4.7777
-3.2403 3.5986 2.2906
ATOMIC_POSITIONS angstrom
As -1.6163 -1.6369 0.2852
Ba 1.0439 -0.6145 2.3889
Ba -1.6201 1.7993 1.1453
Pb -2.1926 -0.4521 3.8194
```

=====

Arrangement b

The following is a DFT calculation (meta-GGA SCAN) of Ba2AsPb at its PBEsol-relaxed geometry. Values from VASP.

Structure (Quantum ESPRESSO input):
```
&SYSTEM
  ibrav = 0, nat = 4, ntyp = 3
/
ATOMIC_SPECIES
Ba 137.33 Ba.upf
As 74.92 As.upf
Pb 207.20 Pb.upf
CELL_PARAMETERS angstrom
5.7899 0.0000 0.0000
2.8949 5.0142 0.0000
2.8949 1.6714 4.7274
ATOMIC_POSITIONS angstrom
Ba 2.8949 1.6714 1.1819
Ba 8.6848 5.0142 3.5456
As 0.0000 0.0000 0.0000
Pb 5.7899 3.3428 2.3637
```

=====

Arrangement c

The following is a DFT calculation (meta-GGA SCAN) of Ba2AsPb at its PBEsol-relaxed geometry. Values from VASP.

Structure (Quantum ESPRESSO input):
```
&SYSTEM
  ibrav = 0, nat = 4, ntyp = 3
/
ATOMIC_SPECIES
Ba 137.33 Ba.upf
Pb 207.20 Pb.upf
As 74.92 As.upf
CELL_PARAMETERS angstrom
5.6751 0.0000 0.0000
2.8375 4.9147 0.0000
2.8375 1.6382 4.6337
ATOMIC_POSITIONS angstrom
Ba 8.5126 4.9147 3.4752
Ba 0.0000 0.0000 0.0000
Pb 2.8375 1.6382 1.1584
As 5.6751 3.2765 2.3168
```

=====

The most stable arrangement is arrangement a, and the next structure is 62 meV/atom less stable.